1.
First-principles (PBE) data for an optimized crystal structure of BaSm2TiN4, as listed in the Alexandria database. Values from VASP.

Properties
E_form (uncorrected) = -10.71 eV/f.u.
space-group type = No. 63
total DFT energy (no corrections) = -63.3 eV/f.u.
crystal system = orthorhombic
calculated volume = 273.97 Å³/cell

Quantum ESPRESSO input file:
```
&SYSTEM
  ibrav = 0, nat = 16, ntyp = 4
/
ATOMIC_SPECIES
Ba 137.33 Ba.upf
Sm 150.36 Sm.upf
Ti 47.87 Ti.upf
N 14.01 N.upf
ATOMIC_POSITIONS crystal
Ba 0.098 0.196 0.750
Ba 0.902 0.804 0.250
Sm 0.370 0.740 0.539
Sm 0.630 0.260 0.039
Sm 0.630 0.260 0.461
Sm 0.370 0.740 0.961
Ti 0.828 0.656 0.750
Ti 0.172 0.344 0.250
N 0.256 0.513 0.122
N 0.744 0.487 0.622
N 0.744 0.487 0.878
N 0.256 0.513 0.378
N 0.000 0.000 0.500
N 0.000 0.000 0.000
N 0.403 0.806 0.750
N 0.597 0.194 0.250
CELL_PARAMETERS angstrom
-1.310 0.796 3.248
-2.876 -5.575 -1.778
9.023 -6.309 5.185
```

---

2.
First-principles (PBE) data for an optimized crystal structure of BaSmVN3, as listed in the Alexandria database. Values from VASP.

Properties
E_form (uncorrected) = -5.48 eV/f.u.
space-group type = No. 12
total DFT energy (no corrections) = -46.2 eV/f.u.
crystal system = monoclinic
calculated volume = 195.53 Å³/cell

Quantum ESPRESSO input file:
```
&SYSTEM
  ibrav = 0, nat = 12, ntyp = 4
/
ATOMIC_SPECIES
Ba 137.33 Ba.upf
Sm 150.36 Sm.upf
V 50.94 V.upf
N 14.01 N.upf
ATOMIC_POSITIONS crystal
Ba 0.357 0.715 0.926
Ba 0.643 0.285 0.074
Sm 0.655 0.310 0.575
Sm 0.345 0.690 0.425
V 0.001 0.001 0.311
V 0.999 0.999 0.689
N 0.857 0.714 0.204
N 0.847 0.694 0.651
N 0.504 0.007 0.319
N 0.153 0.306 0.349
N 0.496 0.993 0.681
N 0.143 0.286 0.796
CELL_PARAMETERS angstrom
-2.256 -2.906 1.269
6.606 -1.995 1.208
-2.009 4.255 6.172
```

---

3.
First-principles (PBE) data for an optimized crystal structure of BaSmWN3, as listed in the Alexandria database. Values from VASP.

Properties
E_form (uncorrected) = -5.36 eV/f.u.
space-group type = No. 12
total DFT energy (no corrections) = -49.9 eV/f.u.
crystal system = monoclinic
calculated volume = 203.25 Å³/cell

Quantum ESPRESSO input file:
```
&SYSTEM
  ibrav = 0, nat = 12, ntyp = 4
/
ATOMIC_SPECIES
Ba 137.33 Ba.upf
Sm 150.36 Sm.upf
W 183.84 W.upf
N 14.01 N.upf
ATOMIC_POSITIONS crystal
Ba 0.360 0.719 0.928
Ba 0.640 0.281 0.072
Sm 0.659 0.318 0.572
Sm 0.341 0.682 0.428
W 0.999 0.998 0.316
W 0.001 0.002 0.684
N 0.855 0.710 0.207
N 0.843 0.685 0.640
N 0.505 0.010 0.300
N 0.157 0.315 0.360
N 0.495 0.990 0.700
N 0.145 0.290 0.793
CELL_PARAMETERS angstrom
4.011 0.000 0.000
-2.006 6.851 0.021
0.000 -2.045 7.389
```

---

4.
First-principles (PBE) data for an optimized crystal structure of Ba2SmWN4, as listed in the Alexandria database. Values from VASP.

Properties
E_form (uncorrected) = -7.17 eV/f.u.
space-group type = No. 31
total DFT energy (no corrections) = -62.0 eV/f.u.
crystal system = orthorhombic
calculated volume = 341.34 Å³/cell

Quantum ESPRESSO input file:
```
&SYSTEM
  ibrav = 0, nat = 16, ntyp = 4
/
ATOMIC_SPECIES
Ba 137.33 Ba.upf
Sm 150.36 Sm.upf
W 183.84 W.upf
N 14.01 N.upf
ATOMIC_POSITIONS crystal
Ba 0.474 0.337 0.249
Ba 0.474 0.337 0.751
Ba 0.974 0.663 0.749
Ba 0.974 0.663 0.251
Sm 0.989 0.152 0.500
Sm 0.489 0.848 0.000
W 0.503 0.850 0.500
W 0.003 0.150 0.000
N 0.315 0.121 0.000
N 0.815 0.879 0.500
N 0.366 0.085 0.500
N 0.866 0.915 0.000
N 0.440 0.721 0.708
N 0.940 0.279 0.208
N 0.940 0.279 0.792
N 0.440 0.721 0.292
CELL_PARAMETERS angstrom
-1.667 -5.756 -0.399
0.920 0.236 -7.255
7.399 -2.203 0.867
```

---

5.
First-principles (PBE) data for an optimized crystal structure of BaSm2WN4, as listed in the Alexandria database. Values from VASP.

Properties
E_form (uncorrected) = -7.92 eV/f.u.
space-group type = No. 63
total DFT energy (no corrections) = -65.5 eV/f.u.
crystal system = orthorhombic
calculated volume = 279.79 Å³/cell

Quantum ESPRESSO input file:
```
&SYSTEM
  ibrav = 0, nat = 16, ntyp = 4
/
ATOMIC_SPECIES
Ba 137.33 Ba.upf
Sm 150.36 Sm.upf
W 183.84 W.upf
N 14.01 N.upf
ATOMIC_POSITIONS crystal
Ba 0.080 0.161 0.750
Ba 0.920 0.839 0.250
Sm 0.371 0.743 0.537
Sm 0.629 0.257 0.037
Sm 0.629 0.257 0.463
Sm 0.371 0.743 0.963
W 0.819 0.639 0.750
W 0.181 0.361 0.250
N 0.258 0.515 0.119
N 0.742 0.485 0.619
N 0.742 0.485 0.881
N 0.258 0.515 0.381
N 0.000 0.000 0.500
N 0.000 0.000 0.000
N 0.395 0.789 0.750
N 0.605 0.211 0.250
CELL_PARAMETERS angstrom
3.566 0.000 0.000
-1.783 6.360 0.000
0.000 0.000 12.336
```

---

6.
First-principles (PBE) data for an optimized crystal structure of Ba2SnN2, as listed in the Alexandria database. Values from VASP.

Properties
E_form (uncorrected) = -2.15 eV/f.u.
space-group type = No. 64
total DFT energy (no corrections) = -26.6 eV/f.u.
crystal system = orthorhombic
calculated volume = 493.55 Å³/cell

Quantum ESPRESSO input file:
```
&SYSTEM
  ibrav = 0, nat = 20, ntyp = 3
/
ATOMIC_SPECIES
Ba 137.33 Ba.upf
Sn 118.71 Sn.upf
N 14.01 N.upf
ATOMIC_POSITIONS crystal
Ba 0.542 0.458 0.856
Ba 0.458 0.542 0.144
Ba 0.958 0.042 0.356
Ba 0.042 0.958 0.644
Ba 0.854 0.146 0.951
Ba 0.146 0.854 0.049
Ba 0.646 0.354 0.451
Ba 0.354 0.646 0.549
Sn 0.745 0.255 0.685
Sn 0.255 0.745 0.315
Sn 0.755 0.245 0.185
Sn 0.245 0.755 0.815
N 0.581 0.419 0.644
N 0.419 0.581 0.356
N 0.919 0.081 0.144
N 0.081 0.919 0.856
N 0.841 0.159 0.557
N 0.159 0.841 0.443
N 0.659 0.341 0.057
N 0.341 0.659 0.943
CELL_PARAMETERS angstrom
-4.061 5.290 1.832
3.754 -0.961 -5.728
-10.530 -6.045 -5.887
```

---

7.
First-principles (PBE) data for an optimized crystal structure of Ba6SnN2, as listed in the Alexandria database. Values from VASP.

Properties
E_form (uncorrected) = -3.60 eV/f.u.
space-group type = No. 15
total DFT energy (no corrections) = -35.8 eV/f.u.
crystal system = monoclinic
calculated volume = 705.94 Å³/cell

Quantum ESPRESSO input file:
```
&SYSTEM
  ibrav = 0, nat = 18, ntyp = 3
/
ATOMIC_SPECIES
Ba 137.33 Ba.upf
Sn 118.71 Sn.upf
N 14.01 N.upf
ATOMIC_POSITIONS crystal
Ba 0.346 0.871 0.593
Ba 0.154 0.407 0.129
Ba 0.654 0.129 0.407
Ba 0.846 0.593 0.871
Ba 0.923 0.714 0.513
Ba 0.577 0.487 0.286
Ba 0.077 0.286 0.487
Ba 0.423 0.513 0.714
Ba 0.246 0.799 0.945
Ba 0.254 0.055 0.201
Ba 0.754 0.201 0.055
Ba 0.746 0.945 0.799
Sn 0.250 0.178 0.822
Sn 0.750 0.822 0.178
N 0.114 0.725 0.741
N 0.386 0.259 0.275
N 0.886 0.275 0.259
N 0.614 0.741 0.725
CELL_PARAMETERS angstrom
7.103 0.141 0.136
2.143 10.014 0.040
2.143 0.365 10.007
```

---

8.
First-principles (PBE) data for an optimized crystal structure of Ba5Sn2N6, as listed in the Alexandria database. Values from VASP.

Properties
E_form (uncorrected) = -4.57 eV/f.u.
space-group type = No. 15
total DFT energy (no corrections) = -72.1 eV/f.u.
crystal system = monoclinic
calculated volume = 601.86 Å³/cell

Quantum ESPRESSO input file:
```
&SYSTEM
  ibrav = 0, nat = 26, ntyp = 3
/
ATOMIC_SPECIES
Ba 137.33 Ba.upf
Sn 118.71 Sn.upf
N 14.01 N.upf
ATOMIC_POSITIONS crystal
Ba 0.230 0.679 0.488
Ba 0.321 0.770 0.012
Ba 0.770 0.321 0.512
Ba 0.679 0.230 0.988
Ba 0.919 0.767 0.211
Ba 0.233 0.081 0.289
Ba 0.081 0.233 0.789
Ba 0.767 0.919 0.711
Ba 0.616 0.384 0.250
Ba 0.384 0.616 0.750
Sn 0.103 0.341 0.076
Sn 0.659 0.897 0.424
Sn 0.897 0.659 0.924
Sn 0.341 0.103 0.576
N 0.028 0.074 0.124
N 0.926 0.972 0.376
N 0.972 0.926 0.876
N 0.074 0.028 0.624
N 0.291 0.421 0.157
N 0.579 0.709 0.343
N 0.709 0.579 0.843
N 0.421 0.291 0.657
N 0.779 0.609 0.064
N 0.391 0.221 0.436
N 0.221 0.391 0.936
N 0.609 0.779 0.564
CELL_PARAMETERS angstrom
3.682 5.612 0.001
-3.682 5.612 0.001
0.000 2.140 14.566
```